First-principles (PBE-GGA) data for TmHgBi2 after structural relaxation, as listed in Alexandria via LeMat-Bulk.

- space group = P4/mmm, No. 123
- total magnetic moment (Bohr magnetons per cell) = 0.00
- distance to the lowest polymorph of the same formula (eV/atom) = 0.0000
- raw total energy (eV per atom) = -3.46

Lattice parameters (Å, degrees): 4.2103 4.2103 6.5719 90.00 90.00 90.00
Fractional coordinates of all 4 atoms:
Tm1 0.0000 0.0000 0.0000
Hg1 0.0000 0.0000 0.5000
Bi1 0.5000 0.5000 0.2328
Bi2 0.5000 0.5000 0.7672